No. 1
PBE PrEr2Sb3, relaxed; V = 30.609 Å³/atom; space group = Immm; total DFT energy (no corrections) = -5.492 eV/atom; ΔE_f (raw) = -1.11 eV/atom
1.0
4.232 0.000 -1.281
-0.776 5.664 -2.564
0.008 0.002 7.658
Er Pr Sb
2 1 3
Cartesian
0.575 0.934 5.717 Er
2.889 4.732 -1.904 Er
1.732 2.833 1.906 Pr
0.219 3.819 4.541 Sb
2.120 0.001 3.188 Sb
3.245 1.848 -0.729 Sb


No. 2
PBE Pr5ErSb5, relaxed; V = 34.747 Å³/atom; space group = C2/m; total DFT energy (no corrections) = -5.446 eV/atom; ΔE_f (raw) = -0.99 eV/atom
1.0
6.355 0.000 0.000
-3.178 7.089 -0.090
0.000 -2.762 8.519
Sb Pr Er
5 5 1
Cartesian
0.000 0.013 7.105 Sb
3.178 4.315 1.323 Sb
3.178 0.000 0.000 Sb
3.178 2.915 5.664 Sb
0.000 1.412 2.765 Sb
0.000 -1.381 4.259 Pr
0.000 2.808 5.631 Pr
3.178 0.037 7.056 Pr
3.178 1.520 2.797 Pr
0.000 4.290 1.372 Pr
0.000 0.000 0.000 Er


No. 3
PBE Pr2ErSb3, relaxed; V = 32.025 Å³/atom; space group = C2/m; total DFT energy (no corrections) = -5.565 eV/atom; ΔE_f (raw) = -1.15 eV/atom
1.0
-4.652 -5.510 2.926
2.863 -0.743 -7.198
6.443 -1.421 4.113
Sb Pr Er
6 4 2
Cartesian
0.189 -5.057 -2.178 Sb
4.792 -5.045 -1.810 Sb
2.318 -6.538 1.569 Sb
-0.116 -2.691 1.575 Sb
4.412 -2.651 2.089 Sb
2.367 -1.040 -1.724 Sb
2.346 -3.825 -0.106 Pr
4.812 -2.260 -3.428 Pr
-0.178 -5.426 3.295 Pr
0.358 -2.332 -3.823 Pr
-2.141 -3.917 -0.457 Er
9.299 -2.168 -3.077 Er


No. 4
PBE Pr3ErSb2, relaxed; V = 35.396 Å³/atom; space group = Ibam; total DFT energy (no corrections) = -5.140 eV/atom; ΔE_f (raw) = -0.62 eV/atom
1.0
7.268 0.000 0.000
0.000 8.029 0.000
-3.634 -4.014 7.279
Sb Pr Er
4 6 2
Cartesian
1.338 0.000 5.188 Sb
4.971 0.000 2.091 Sb
2.296 4.015 2.091 Sb
-1.338 4.014 5.188 Sb
0.000 2.007 3.054 Pr
3.634 6.022 0.000 Pr
3.634 2.007 0.000 Pr
3.634 2.007 4.225 Pr
3.634 -2.007 4.225 Pr
0.000 6.022 3.054 Pr
0.000 0.000 0.000 Er
0.000 4.014 0.000 Er


No. 5
PBE Pr3ErSb3, relaxed; V = 33.330 Å³/atom; space group = R-3; total DFT energy (no corrections) = -5.398 eV/atom; ΔE_f (raw) = -0.93 eV/atom
1.0
-6.657 -2.664 5.780
1.676 -6.559 6.245
0.179 1.358 8.170
Sb Pr Er
6 6 2
Cartesian
-5.620 -4.183 9.194 Sb
-2.868 -0.681 9.432 Sb
-3.677 -3.880 13.197 Sb
-1.934 -7.185 10.763 Sb
0.818 -3.683 11.001 Sb
-1.125 -3.986 6.998 Sb
0.381 -6.063 8.837 Pr
-0.802 -5.316 13.163 Pr
-5.183 -1.803 11.358 Pr
0.091 -1.527 8.732 Pr
-3.999 -2.550 7.032 Pr
-4.893 -6.339 11.462 Pr
-1.656 -3.063 4.019 Er
-3.146 -4.803 16.176 Er


No. 6
PBE Pr3ErSb3, relaxed; V = 30.417 Å³/atom; space group = P2_13; total DFT energy (no corrections) = -5.491 eV/atom; ΔE_f (raw) = -1.02 eV/atom
1.0
-3.670 2.293 -8.433
-8.709 -0.200 3.736
0.725 9.195 2.184
Sb Pr Er
12 12 4
Cartesian
-9.805 7.922 -4.204 Sb
-4.677 2.421 1.315 Sb
-1.625 7.960 2.843 Sb
-1.651 5.151 -0.460 Sb
-7.540 10.782 -1.862 Sb
-8.527 0.442 1.083 Sb
-10.446 8.213 0.074 Sb
-5.153 7.573 0.353 Sb
-8.019 4.399 -0.613 Sb
-5.590 6.200 -3.787 Sb
-3.859 2.294 -3.052 Sb
-3.031 4.368 -6.769 Sb
-4.690 9.038 -2.741 Pr
-7.586 3.215 2.297 Pr
-7.829 6.819 1.847 Pr
-7.882 7.634 -1.700 Pr
-6.475 1.490 -1.399 Pr
-5.714 3.445 -5.352 Pr
-2.126 8.281 -0.272 Pr
-2.092 2.026 -0.451 Pr
-8.697 4.692 -3.681 Pr
-3.611 5.270 2.300 Pr
-10.883 10.541 -2.347 Pr
-2.339 5.274 -3.580 Pr
-3.620 7.376 -6.302 Er
-4.578 8.581 3.554 Er
-4.983 4.827 -1.075 Er
-10.127 1.792 -1.204 Er


no.,total moment (μB per atom)
1,0.00
2,0.00
3,0.00
4,0.00
5,0.00
6,0.00